[1]
DFT (meta-GGA SCAN) results for a PBEsol-optimized structure of Mg2ScAl.

Geometry as CIF:
```
data_Mg2ScAl
_cell_length_a 4.2158
_cell_length_b 4.2158
_cell_length_c 4.5440
_cell_angle_alpha 90.00
_cell_angle_beta 90.00
_cell_angle_gamma 90.00
_space_group_name_H-M_alt 'P 4/m m m'
_space_group_IT_number 123
_space_group_name_Hall '-P 4 2'
loop_
_atom_site_label
_atom_site_type_symbol
_atom_site_fract_x
_atom_site_fract_y
_atom_site_fract_z
Mg1 Mg 0.0000 0.5000 0.0000
Sc1 Sc 0.0000 0.0000 0.5000
Al1 Al 0.5000 0.5000 0.5000
```

Formation energy   -0.19 eV/atom

[2]
DFT (meta-GGA SCAN) results for a PBEsol-optimized structure of Mg2ScAl2.

Geometry as CIF:
```
data_Mg2ScAl2
_cell_length_a 7.8928
_cell_length_b 7.8928
_cell_length_c 3.2232
_cell_angle_alpha 90.00
_cell_angle_beta 90.00
_cell_angle_gamma 90.00
_space_group_name_H-M_alt 'P 4/m b m'
_space_group_IT_number 127
_space_group_name_Hall '-P 4 2ab'
loop_
_atom_site_label
_atom_site_type_symbol
_atom_site_fract_x
_atom_site_fract_y
_atom_site_fract_z
Mg1 Mg 0.1749 0.3251 0.0000
Sc1 Sc 0.0000 0.0000 0.5000
Al1 Al 0.1230 0.6230 0.5000
```

Formation energy   -0.05 eV/atom

[3]
DFT (meta-GGA SCAN) results for a PBEsol-optimized structure of Mg16ScAl12.

Geometry as CIF:
```
data_Mg16ScAl12
_cell_length_a 14.9056
_cell_length_b 14.9056
_cell_length_c 8.8649
_cell_angle_alpha 90.00
_cell_angle_beta 90.00
_cell_angle_gamma 120.00
_space_group_name_H-M_alt 'R 3 m'
_space_group_IT_number 160
_space_group_name_Hall 'R 3 -2"'
loop_
_atom_site_label
_atom_site_type_symbol
_atom_site_fract_x
_atom_site_fract_y
_atom_site_fract_z
Mg1 Mg 0.0000 0.0000 0.0000
Mg2 Mg 0.0339 0.3606 0.3577
Mg3 Mg 0.1056 0.5528 0.5469
Mg4 Mg 0.1085 0.2170 0.4918
Mg5 Mg 0.1991 0.3982 0.1132
Sc1 Sc 0.0000 0.0000 0.3671
Al1 Al 0.0012 0.1814 0.1837
Al2 Al 0.1223 0.0612 0.6828
Al3 Al 0.2120 0.4241 0.5955
```

Energy above the most stable polymorph in this dataset   0.007 eV/atom
Formation energy   -0.06 eV/atom

[4]
DFT (meta-GGA SCAN) results for a PBEsol-optimized structure of Mg2ScAl.

Geometry as CIF:
```
data_Mg2ScAl
_cell_length_a 3.1000
_cell_length_b 4.5557
_cell_length_c 6.1085
_cell_angle_alpha 90.00
_cell_angle_beta 104.84
_cell_angle_gamma 90.00
_space_group_name_H-M_alt 'P 1 m 1'
_space_group_IT_number 6
_space_group_name_Hall 'P -2y'
loop_
_atom_site_label
_atom_site_type_symbol
_atom_site_fract_x
_atom_site_fract_y
_atom_site_fract_z
Mg1 Mg 0.0000 0.0000 0.0000
Mg2 Mg 0.3893 0.5000 0.7776
Sc1 Sc 0.6529 0.5000 0.3058
Al1 Al 0.2493 0.0000 0.4970
```

Formation energy   -0.13 eV/atom

[5]
DFT (meta-GGA SCAN) results for a PBEsol-optimized structure of Mg16ScAl12.

Geometry as CIF:
```
data_Mg16ScAl12
_cell_length_a 10.4693
_cell_length_b 14.8619
_cell_length_c 8.9484
_cell_angle_alpha 90.00
_cell_angle_beta 124.67
_cell_angle_gamma 90.00
_space_group_name_H-M_alt 'C 1 m 1'
_space_group_IT_number 8
_space_group_name_Hall 'C -2y'
loop_
_atom_site_label
_atom_site_type_symbol
_atom_site_fract_x
_atom_site_fract_y
_atom_site_fract_z
Mg1 Mg 0.0000 0.0000 0.0000
Mg2 Mg 0.0043 0.0000 0.3531
Mg3 Mg 0.0573 0.3422 0.3989
Mg4 Mg 0.1529 0.5000 0.6499
Mg5 Mg 0.1587 0.1592 0.6054
Mg6 Mg 0.1673 0.1707 0.9949
Mg7 Mg 0.2990 0.2984 0.3163
Mg8 Mg 0.4009 0.0000 0.7223
Mg9 Mg 0.4583 0.1449 0.0040
Mg10 Mg 0.4854 0.1980 0.6855
Sc1 Sc 0.1836 0.5000 0.2789
Al1 Al 0.0026 0.1815 0.1896
Al2 Al 0.1833 0.0000 0.8209
Al3 Al 0.2228 0.4099 0.0041
Al4 Al 0.2719 0.0923 0.3683
Al5 Al 0.3165 0.3172 0.8192
Al6 Al 0.3718 0.0000 0.1862
Al7 Al 0.4025 0.4080 0.6283
```

Energy above the most stable polymorph in this dataset   0.020 eV/atom
Formation energy   -0.05 eV/atom

[6]
DFT (meta-GGA SCAN) results for a PBEsol-optimized structure of Mg16ScAl12.

Geometry as CIF:
```
data_Mg16ScAl12
_cell_length_a 10.4311
_cell_length_b 10.4311
_cell_length_c 10.4311
_cell_angle_alpha 90.00
_cell_angle_beta 90.00
_cell_angle_gamma 90.00
_space_group_name_H-M_alt 'I -4 3 m'
_space_group_IT_number 217
_space_group_name_Hall 'I -4 2 3'
loop_
_atom_site_label
_atom_site_type_symbol
_atom_site_fract_x
_atom_site_fract_y
_atom_site_fract_z
Mg1 Mg 0.0396 0.3578 0.3578
Mg2 Mg 0.1751 0.1751 0.8249
Sc1 Sc 0.0000 0.0000 0.0000
Al1 Al 0.0900 0.0900 0.2756
```

Energy above the most stable polymorph in this dataset   0.000 eV/atom
Formation energy   -0.07 eV/atom

[7]
DFT (meta-GGA SCAN) results for a PBEsol-optimized structure of Mg2ScAl.

Geometry as CIF:
```
data_Mg2ScAl
_cell_length_a 4.3035
_cell_length_b 4.3035
_cell_length_c 8.9359
_cell_angle_alpha 90.00
_cell_angle_beta 90.00
_cell_angle_gamma 90.00
_space_group_name_H-M_alt 'I 4/m m m'
_space_group_IT_number 139
_space_group_name_Hall '-I 4 2'
loop_
_atom_site_label
_atom_site_type_symbol
_atom_site_fract_x
_atom_site_fract_y
_atom_site_fract_z
Mg1 Mg 0.0000 0.5000 0.2500
Sc1 Sc 0.0000 0.0000 0.0000
Al1 Al 0.0000 0.0000 0.5000
```

Formation energy   -0.07 eV/atom

[8]
DFT (meta-GGA SCAN) results for a PBEsol-optimized structure of MgAlSe2.

Geometry as CIF:
```
data_MgAlSe2
_cell_length_a 3.6954
_cell_length_b 3.6954
_cell_length_c 23.9195
_cell_angle_alpha 90.00
_cell_angle_beta 90.00
_cell_angle_gamma 120.00
_space_group_name_H-M_alt 'R -3 m'
_space_group_IT_number 166
_space_group_name_Hall '-R 3 2"'
loop_
_atom_site_label
_atom_site_type_symbol
_atom_site_fract_x
_atom_site_fract_y
_atom_site_fract_z
Mg1 Mg 0.0000 0.0000 0.0000
Al1 Al 0.0000 0.0000 0.5000
Se1 Se 0.0000 0.0000 0.1089
```

Energy above the most stable polymorph in this dataset   0.000 eV/atom
ΔE_f (raw)   -0.7013 eV/atom

[9]
DFT (meta-GGA SCAN) results for a PBEsol-optimized structure of MgAl2Se.

Geometry as CIF:
```
data_MgAl2Se
_cell_length_a 3.5645
_cell_length_b 5.4383
_cell_length_c 4.0957
_cell_angle_alpha 90.00
_cell_angle_beta 90.44
_cell_angle_gamma 90.00
_space_group_name_H-M_alt 'P 1 2/m 1'
_space_group_IT_number 10
_space_group_name_Hall '-P 2y'
loop_
_atom_site_label
_atom_site_type_symbol
_atom_site_fract_x
_atom_site_fract_y
_atom_site_fract_z
Mg1 Mg 0.0000 0.0000 0.0000
Al1 Al 0.2516 0.5000 0.7479
Se1 Se 0.5000 0.0000 0.5000
```

Energy above the most stable polymorph in this dataset   0.000 eV/atom
ΔE_f (raw)   -0.1414 eV/atom

[10]
DFT (meta-GGA SCAN) results for a PBEsol-optimized structure of MgAlSe2.

Geometry as CIF:
```
data_MgAlSe2
_cell_length_a 3.7711
_cell_length_b 5.2762
_cell_length_c 8.8204
_cell_angle_alpha 90.00
_cell_angle_beta 90.00
_cell_angle_gamma 90.00
_space_group_name_H-M_alt 'C m m 2'
_space_group_IT_number 35
_space_group_name_Hall 'C 2 -2'
loop_
_atom_site_label
_atom_site_type_symbol
_atom_site_fract_x
_atom_site_fract_y
_atom_site_fract_z
Mg1 Mg 0.0000 0.0000 0.0000
Al1 Al 0.0000 0.5000 0.2751
Se1 Se 0.0000 0.0000 0.4481
Se2 Se 0.0000 0.5000 0.8021
```

Energy above the most stable polymorph in this dataset   0.466 eV/atom
ΔE_f (raw)   -0.2356 eV/atom

[11]
DFT (meta-GGA SCAN) results for a PBEsol-optimized structure of Mg2Al2Se5.

Geometry as CIF:
```
data_Mg2Al2Se5
_cell_length_a 3.8700
_cell_length_b 3.8700
_cell_length_c 16.1565
_cell_angle_alpha 90.00
_cell_angle_beta 90.00
_cell_angle_gamma 120.00
_space_group_name_H-M_alt 'P -3 m 1'
_space_group_IT_number 164
_space_group_name_Hall '-P 3 2"'
loop_
_atom_site_label
_atom_site_type_symbol
_atom_site_fract_x
_atom_site_fract_y
_atom_site_fract_z
Mg1 Mg 0.3333 0.6667 0.0982
Al1 Al 0.3333 0.6667 0.6724
Se1 Se 0.0000 0.0000 0.0000
Se2 Se 0.3333 0.6667 0.3941
Se3 Se 0.3333 0.6667 0.8145
```

ΔE_f (raw)   -1.1869 eV/atom

[12]
DFT (meta-GGA SCAN) results for a PBEsol-optimized structure of MgAl2Se.

Geometry as CIF:
```
data_MgAl2Se
_cell_length_a 3.4558
_cell_length_b 3.4558
_cell_length_c 23.3587
_cell_angle_alpha 90.00
_cell_angle_beta 90.00
_cell_angle_gamma 120.00
_space_group_name_H-M_alt 'R -3 m'
_space_group_IT_number 166
_space_group_name_Hall '-R 3 2"'
loop_
_atom_site_label
_atom_site_type_symbol
_atom_site_fract_x
_atom_site_fract_y
_atom_site_fract_z
Mg1 Mg 0.0000 0.0000 0.0000
Al1 Al 0.0000 0.0000 0.2412
Se1 Se 0.0000 0.0000 0.5000
```

Energy above the most stable polymorph in this dataset   0.050 eV/atom
ΔE_f (raw)   -0.0910 eV/atom

Number 1: DOS(E_F) 2.17 states/eV/cell, total magnetization 0.0030 μB/atom, DFT total energy -8.18 eV/atom. Number 2: DOS(E_F) 5.71 states/eV/cell, total magnetization 0.1113 μB/atom, DFT total energy -7.99 eV/atom. Number 3: DOS(E_F) 27.97 states/eV/cell, total magnetization 0.0000 μB/atom, DFT total energy -6.50 eV/atom. Number 4: DOS(E_F) 2.24 states/eV/cell, total magnetization 0.0001 μB/atom, DFT total energy -8.12 eV/atom. Number 5: DOS(E_F) 21.90 states/eV/cell, total magnetization 0.0000 μB/atom, DFT total energy -6.49 eV/atom. Number 6: DOS(E_F) 21.61 states/eV/cell, total magnetization 0.0000 μB/atom, DFT total energy -6.51 eV/atom. Number 7: DOS(E_F) 5.33 states/eV/cell, total magnetization 0.0000 μB/atom, DFT total energy -8.05 eV/atom. Number 8: DOS(E_F) 1.44 states/eV/cell, total magnetization 0.2209 μB/atom, DFT total energy -13.92 eV/atom. Number 9: DOS(E_F) 1.54 states/eV/cell, total magnetization 0.0000 μB/atom, DFT total energy -10.28 eV/atom. Number 10: DOS(E_F) 2.45 states/eV/cell, total magnetization 0.0000 μB/atom, DFT total energy -13.46 eV/atom. Number 11: DOS(E_F) 0.00 states/eV/cell, total magnetization 0.0000 μB/atom, DFT total energy -15.17 eV/atom. Number 12: DOS(E_F) 4.48 states/eV/cell, total magnetization 0.0000 μB/atom, DFT total energy -10.23 eV/atom.